Below is a geometry-optimized KRu3W structure, with properties calculated at the PBE level.

a b c (Å): 4.452 4.452 4.452
angles (deg): 90.00 90.00 90.00
Fractional positions:
Ru: 0.500 0.000 0.000
Ru: 0.000 0.000 0.500
Ru: 0.000 0.500 0.000
K: 0.000 0.000 0.000
W: 0.500 0.500 0.500

Computed properties:
As for the formation energy: 3127 meV/atom. The value obtained for the total energy is -5.248 eV/atom.